This record from Alexandria via LeMat-Bulk describes an optimized crystal structure of KCaMo2F. The functional is PBE+U.

Unit cell a=6.3433 b=6.3433 c=4.5503 alpha=90.00 beta=90.00 gamma=90.00
Fractional positions:
K  0.0000  0.0000  0.0000
Ca  0.5000  0.5000  0.5000
Mo  0.0000  0.5000  0.0000
Mo  0.5000  0.0000  0.0000
F  0.0000  0.0000  0.5000

Values from the calculation:
* Fermi-level density of states: 2.69 states/eV/cell
* E: -3.237 eV/atom